Entry 1:
CsGaSn4: optimized geometry, PBE.

Cell lengths 4.381, 10.769, 8.625 Å; angles 90.00, 104.71, 90.00 degrees
Element x y z (fractional)
Ga 0.079 0.750 0.159
Sn 0.188 0.980 0.376
Sn 0.812 0.020 0.624
Cs 0.396 0.750 0.791
Sn 0.000 0.500 0.000
Sn 0.697 0.750 0.395
Cs 0.604 0.250 0.209
Sn 0.188 0.520 0.376
Sn 0.812 0.480 0.624
Sn 0.000 0.000 0.000
Sn 0.303 0.250 0.605
Ga 0.921 0.250 0.841

Values from the calculation:
For the formation energy, the calculation gives 0.00 eV/atom.

***

Entry 2:
Cs2MnBS4: optimized geometry, PBE.

Cell lengths 5.664, 7.491, 12.526 Å; angles 85.10, 76.93, 67.78 degrees
Element x y z (fractional)
Mn 0.000 0.000 0.000
Cs 0.574 0.500 0.851
S 0.329 0.838 0.089
Cs 0.176 0.000 0.649
Cs 0.824 0.000 0.351
B 0.500 0.000 0.000
B 0.250 0.500 0.500
S 0.168 0.338 0.411
Mn 0.750 0.500 0.500
S 0.833 0.838 0.911
S 0.582 0.162 0.089
S 0.494 0.338 0.589
S 0.917 0.662 0.589
S 0.256 0.162 0.911
Cs 0.926 0.500 0.149
S 0.421 0.662 0.411

Values from the calculation:
The formation energy from raw total energies is -833.4 meV/atom.

***

Entry 3:
BaHgBi2Pd: optimized geometry, PBE.

Cell lengths 5.544, 5.544, 5.328 Å; angles 90.00, 90.00, 90.00 degrees
Element x y z (fractional)
Bi 0.500 0.000 0.000
Hg 0.000 0.000 0.500
Bi 0.000 0.500 0.000
Pd 0.000 0.000 0.000
Ba 0.500 0.500 0.500

Values from the calculation:
For the formation energy, the calculation gives -0.34 eV/atom.

***

Entry 4:
Ce8SbIr6: optimized geometry, PBE.

Cell lengths 7.388, 7.388, 7.388 Å; angles 88.65, 88.65, 88.65 degrees
Element x y z (fractional)
Ir 0.585 0.426 0.756
Ce 0.243 0.243 0.243
Ce 0.732 0.376 0.097
Ir 0.756 0.585 0.426
Ce 0.268 0.624 0.903
Ce 0.097 0.732 0.376
Sb 0.000 0.000 0.000
Ce 0.624 0.903 0.268
Ir 0.426 0.756 0.585
Ce 0.376 0.097 0.732
Ce 0.757 0.757 0.757
Ir 0.244 0.415 0.574
Ir 0.574 0.244 0.415
Ce 0.903 0.268 0.624
Ir 0.415 0.574 0.244

Values from the calculation:
The formation energy from raw total energies is -553.2 meV/atom.

***

Entry 5:
Sr2BrCl: optimized geometry, PBE.

Cell lengths 6.527, 6.527, 6.527 Å; angles 144.43, 105.67, 85.21 degrees
Element x y z (fractional)
Sr 0.010 0.010 0.000
Br 0.750 0.250 0.500
Sr 0.490 0.490 0.000
Cl 0.250 0.750 0.500

Values from the calculation:
The formation energy from raw total energies is -1442.9 meV/atom.

***

Entry 6:
KCuNiCl6: optimized geometry, PBE.

Cell lengths 6.137, 6.772, 6.942 Å; angles 95.67, 93.13, 56.52 degrees
Element x y z (fractional)
Cu 0.658 0.671 0.500
Cl 0.621 0.339 0.703
Cl 0.364 0.006 0.681
Cl 0.006 0.382 0.304
Cl 0.621 0.040 0.297
Ni 0.333 0.333 0.500
Cl 0.364 0.630 0.319
Cl 0.006 0.613 0.696
K 0.027 0.986 0.000

Values from the calculation:
The formation energy from raw total energies is -790.6 meV/atom.

***

Entry 7:
TaBSe4: optimized geometry, PBE.

Cell lengths 5.049, 6.897, 10.640 Å; angles 100.77, 90.00, 111.47 degrees
Element x y z (fractional)
Ta 0.798 0.595 0.797
Se 0.115 0.231 0.989
Se 0.764 0.528 0.273
B 0.903 0.807 0.208
Se 0.399 0.797 0.232
Ta 0.202 0.405 0.203
Se 0.601 0.203 0.768
Se 0.946 0.893 0.679
B 0.097 0.193 0.792
Se 0.236 0.472 0.727
Se 0.885 0.769 0.011
Se 0.054 0.107 0.321

Values from the calculation:
The formation energy from raw total energies is -60.2 meV/atom.

***

Entry 8:
Hf2HgRh: optimized geometry, PBE.

Cell lengths 7.633, 7.633, 6.116 Å; angles 51.39, 51.39, 90.00 degrees
Element x y z (fractional)
Hg 0.750 0.250 0.500
Hf 0.375 0.419 0.750
Hf 0.875 0.831 0.750
Rh 0.500 0.500 0.000
Hf 0.169 0.625 0.250
Rh 0.250 0.750 0.500
Hg 0.000 0.000 0.000
Hf 0.581 0.125 0.250

Values from the calculation:
For the formation energy, the calculation gives -0.05 eV/atom.